Material: LaNd2Si4Au4
Method: DFT, GGA-PBE
State: relaxed

POSCAR file:
```
LaNd2Si4Au4
1.0
1.158 -8.678 9.560
-3.479 -10.825 6.225
3.127 8.147 -9.586
Au La Nd Si
4 1 2 4
Cartesian
-0.579 -4.868 3.940
-1.742 -14.635 11.845
1.204 -8.156 6.373
-0.398 -3.201 -0.174
0.000 0.000 0.000
1.797 -3.166 2.334
-0.992 -8.190 3.864
-1.050 -8.822 7.140
-1.271 -10.682 8.645
1.428 -6.267 4.844
-0.622 -5.089 1.354
```

Summary:
**Spin magnetization**: 0.00 μB per cell
**Volume**: 21.33 A^3/atom
**Symmetry**: Immm, No. 71
**Energy**: -5.229 eV/atom